1.
Entry from Alexandria via LeMat-Bulk: a relaxed structure of PuBr2Cl2 (PBE).

Unit cell a=6.6651 b=6.6651 c=4.2602 alpha=90.00 beta=90.00 gamma=90.86
Closest atoms and distances in Å follow each position.
Positions (direct):
Pu 0.0000 0.0000 0.0000  2 Cl 2.49
Br 0.1993 0.8007 0.5000  2 Pu 2.85
Br 0.8007 0.1993 0.5000  2 Pu 2.85
Cl 0.2662 0.2662 0.0000  1 Pu 2.49
Cl 0.7338 0.7338 0.0000  1 Pu 2.49

Summary:
DOS(E_F)   9.32 states/eV per cell
Space group   Cmmm, No. 65
DFT total energy   -5.71 eV per atom
E_form (uncorrected)   -1440 meV per atom
Crystal system   orthorhombic

2.
Entry from Alexandria via LeMat-Bulk: a relaxed structure of NaIn2CuHg (PBE).

Unit cell a=4.9871 b=4.9871 c=5.5649 alpha=90.00 beta=90.00 gamma=90.00
Closest atoms and distances in Å follow each position.
Positions (direct):
Na 0.0000 0.0000 0.0000  2 Cu 2.78
In 0.0000 0.5000 0.5000  2 Cu 2.49
In 0.5000 0.0000 0.5000  2 Cu 2.49
Cu 0.0000 0.0000 0.5000  4 In 2.49, 2 Na 2.78
Hg 0.5000 0.5000 0.0000  4 Na 3.53, 8 In 3.74

Summary:
ΔH_f (0 K)   59 meV/atom
DOS(E_F)   2.30 states/eV per cell
Relative energy among the computed polymorphs   0.0123 eV per atom
Space group   P4/mmm, No. 123
DFT total energy   -2.18 eV per atom
Crystal system   tetragonal

3.
Entry from Alexandria via LeMat-Bulk: a relaxed structure of InCu2Sb2 (PBE).

Unit cell a=6.5583 b=6.5583 c=6.5583 alpha=139.89 beta=139.89 gamma=58.01
Closest atoms and distances in Å follow each position.
Positions (direct):
In 0.0000 0.0000 0.0000  8 Sb 3.51, 8 Cu 3.64
Cu 0.2500 0.7500 0.5000  4 Sb 2.65
Cu 0.7500 0.2500 0.5000  4 Sb 2.65
Sb 0.3716 0.3716 0.0000  4 Cu 2.65, 1 Sb 2.95
Sb 0.6284 0.6284 0.0000  4 Cu 2.65, 1 Sb 2.95

Summary:
DOS(E_F)   1.84 states/eV per cell
Relative energy among the computed polymorphs   0.0000 eV per atom
Space group   I4/mmm, No. 139
DFT total energy   -3.71 eV per atom
E_form (uncorrected)   127 meV per atom
Crystal system   tetragonal

4.
Entry from Alexandria via LeMat-Bulk: a relaxed structure of PmY12In3 (PBE).

Unit cell a=4.8841 b=4.8841 c=19.9742 alpha=90.00 beta=90.00 gamma=90.00
Closest atoms and distances in Å follow each position.
Positions (direct):
Pm 0.0000 0.0000 0.0000  12 Y 3.45-3.60
Y 0.0000 0.5000 0.1327  8 Y 3.45-3.60, 2 In 3.48, 2 Pm 3.60
Y 0.0000 0.5000 0.3779  4 In 3.43-3.45, 8 Y 3.44-3.45
Y 0.0000 0.5000 0.6221  4 In 3.43-3.45, 8 Y 3.44-3.45
Y 0.0000 0.5000 0.8673  8 Y 3.45-3.60, 2 In 3.48, 2 Pm 3.60
Y 0.5000 0.0000 0.1327  8 Y 3.45-3.60, 2 In 3.48, 2 Pm 3.60
Y 0.5000 0.0000 0.3779  4 In 3.43-3.45, 8 Y 3.44-3.45
Y 0.5000 0.0000 0.6221  4 In 3.43-3.45, 8 Y 3.44-3.45
Y 0.5000 0.0000 0.8673  8 Y 3.45-3.60, 2 In 3.48, 2 Pm 3.60
Y 0.5000 0.5000 0.0000  4 Pm 3.45, 8 Y 3.60
Y 0.5000 0.5000 0.2568  8 Y 3.44-3.48, 4 In 3.45
Y 0.5000 0.5000 0.5000  8 Y 3.45, 4 In 3.45
Y 0.5000 0.5000 0.7432  8 Y 3.44-3.48, 4 In 3.45
In 0.0000 0.0000 0.2571  12 Y 3.43-3.48
In 0.0000 0.0000 0.5000  12 Y 3.45
In 0.0000 0.0000 0.7429  12 Y 3.43-3.48

Summary:
ΔH_f (0 K)   -194 meV/atom
DOS(E_F)   21.40 states/eV per cell
Space group   P4/mmm, No. 123
DFT total energy   -5.85 eV per atom
Crystal system   tetragonal

5.
Entry from Alexandria via LeMat-Bulk: a relaxed structure of Nd4TeCBr2 (PBE).

Unit cell a=7.6092 b=4.0310 c=7.6580 alpha=90.00 beta=108.03 gamma=90.00
Closest atoms and distances in Å follow each position.
Positions (direct):
Nd 0.1930 0.0000 0.1910  2 C 2.65
Nd 0.2064 0.5000 0.8009  1 C 2.51
Nd 0.7936 0.5000 0.1991  1 C 2.51
Nd 0.8070 0.0000 0.8090  2 C 2.65
Te 0.0000 0.0000 0.5000  6 Nd 3.10-3.15
C 0.0000 0.5000 0.0000  6 Nd 2.51-2.65
Br 0.5000 0.0000 0.0000  6 Nd 3.04-3.12
Br 0.5000 0.5000 0.5000  6 Nd 3.42-3.67

Summary:
DOS(E_F)   1.19 states/eV per cell
Space group   P2/m, No. 10
DFT total energy   -5.42 eV per atom
E_form (uncorrected)   -1068 meV per atom
Crystal system   monoclinic

6.
Entry from Alexandria via LeMat-Bulk: a relaxed structure of RePRhPb2 (PBE).

Unit cell a=5.3514 b=5.3514 c=4.4326 alpha=90.00 beta=90.00 gamma=90.00
Closest atoms and distances in Å follow each position.
Positions (direct):
Re 0.0000 0.0000 0.0000  2 P 2.22
P 0.0000 0.0000 0.5000  2 Re 2.22
Rh 0.5000 0.5000 0.5000  8 Pb 3.47, 4 P 3.78
Pb 0.0000 0.5000 0.0000  2 Re 2.68
Pb 0.5000 0.0000 0.0000  2 Re 2.68

Summary:
ΔH_f (0 K)   898 meV/atom
DOS(E_F)   5.58 states/eV per cell
Space group   P4/mmm, No. 123
DFT total energy   -5.63 eV per atom
Crystal system   tetragonal